## Li2Y2Cd (meta-GGA SCAN)

Data for a crystal of Li2Y2Cd relaxed with PBEsol.

Cell lengths 3.6421, 3.6421, 9.7204 Å; angles 100.80, 100.80, 90.00 degrees
Last column: nearest neighbours and their distance in Å.
Element x y z (fractional)
Li 0.7500 0.2500 0.5000  4 Li 2.58
Li 0.2500 0.7500 0.5000  4 Li 2.58
Y 0.4021 0.4021 0.8042  4 Cd 3.16, 4 Li 3.38
Y 0.5979 0.5979 0.1958  4 Cd 3.16, 4 Li 3.38
Cd 0.0000 0.0000 0.0000  8 Y 3.16

Output
**Formation enthalpy at 0 K**: -1 kJ per mole of atoms
**Symmetry**: I4/mmm (139)
**Final energy**: -18.185 eV/atom
**Crystal system**: tetragonal